{"formula": "MgAuNO", "functional": "GGA-PBE", "state": "relaxed", "lattice_angstrom": [[4.163, 0.000, 0.000], [0.000, 4.163, 0.000], [0.000, 0.000, 5.866]], "species": ["Mg", "Mg", "Au", "Au", "N", "N", "O", "O"], "frac_coords": [[0.250, 0.250, 0.046], [0.750, 0.750, 0.954], [0.250, 0.750, 0.500], [0.750, 0.250, 0.500], [0.250, 0.250, 0.418], [0.750, 0.750, 0.582], [0.250, 0.750, 0.000], [0.750, 0.250, 0.000]], "de_polymorph_ev_per_atom": 0.000, "dft_energy_ev_per_atom": -4.892}